No. 1
Density functional theory data (PBE) for a relaxed structure of PmErTm3Sc.

a = 7.777 Å, b = 7.777 Å, c = 9.864 Å
α = 90.00°, β = 90.00°, γ = 143.11°
Element x y z (fractional)
Pm 0.002 0.998 0.750
Pm 0.998 0.002 0.250
Er 0.500 0.500 0.000
Er 0.500 0.500 0.500
Tm 0.168 0.832 0.000
Tm 0.168 0.832 0.500
Tm 0.330 0.670 0.750
Tm 0.670 0.330 0.250
Tm 0.832 0.168 0.000
Tm 0.832 0.168 0.500
Sc 0.332 0.668 0.250
Sc 0.668 0.332 0.750

Results
- crystal system = orthorhombic
- M_tot (μB per formula unit) = 0.0
- total DFT energy (no corrections) (eV per cell) = -57.641

No. 2
Density functional theory data (PBE) for a relaxed structure of U2RhSe4S.

a = 6.098 Å, b = 6.098 Å, c = 7.993 Å
α = 108.29°, β = 108.29°, γ = 37.19°
Element x y z (fractional)
U 0.154 0.154 0.188
U 0.846 0.846 0.812
Rh 0.000 0.000 0.500
Se 0.163 0.163 0.813
Se 0.367 0.367 0.541
Se 0.633 0.633 0.459
Se 0.837 0.837 0.187
S 0.500 0.500 0.000

Results
- crystal system = monoclinic
- M_tot (μB per formula unit) = 4.8
- total DFT energy (no corrections) (eV per cell) = -55.875
- uncorrected formation energy (meV/atom) = -985.2

No. 3
Density functional theory data (PBE) for a relaxed structure of Ba3NdH.

a = 5.845 Å, b = 5.845 Å, c = 5.845 Å
α = 90.00°, β = 90.00°, γ = 90.00°
Element x y z (fractional)
Ba 0.000 0.000 0.500
Ba 0.000 0.500 0.000
Ba 0.500 0.000 0.000
Nd 0.500 0.500 0.500
H 0.000 0.000 0.000

Results
- crystal system = cubic
- M_tot (μB per formula unit) = 0.0
- total DFT energy (no corrections) (eV per cell) = -13.867

No. 4
Density functional theory data (PBE) for a relaxed structure of ScPb.

a = 5.110 Å, b = 5.110 Å, c = 9.941 Å
α = 90.00°, β = 90.00°, γ = 120.00°
Element x y z (fractional)
Sc 0.000 0.000 0.250
Sc 0.000 0.000 0.750
Sc 0.333 0.667 0.250
Sc 0.667 0.333 0.750
Pb 0.333 0.667 0.594
Pb 0.333 0.667 0.906
Pb 0.667 0.333 0.094
Pb 0.667 0.333 0.406

Results
- crystal system = hexagonal
- M_tot (μB per formula unit) = 0.6
- total DFT energy (no corrections) (eV per cell) = -38.800

Among the records above, which one has the highest total DFT energy (no corrections)? Ba3NdH